Entry 1:
DFT (PBE-GGA) results for a geometry-optimized HfPaTl structure.

Computed properties:
**Uncorrected energy**: -7.042 eV per atom
**Energy above the lowest structure with this stoichiometry**: 167 meV per atom
**ρ**: 13.68 g/cm3
**Space group**: Pmmn
**Fermi-level density of states**: 1.88 states/eV/atom

a = 3.2472 Å, b = 5.2936 Å, c = 8.6722 Å
α = 90.00°, β = 90.00°, γ = 90.00°
Last column: magnetic moment on the atom in μB.
Fractional positions:
Pa: 0.0000 0.0000 0.3740  0.80
Pa: 0.5000 0.5000 0.6260  0.80
Hf: 0.0000 0.5000 0.9479  0.02
Hf: 0.5000 0.0000 0.0521  0.02
Tl: 0.5000 0.5000 0.2490  0.00
Tl: 0.0000 0.0000 0.7510  0.00



Entry 2:
DFT (PBE-GGA) results for a geometry-optimized ErZrC structure.

Computed properties:
**Uncorrected energy**: -7.281 eV per atom
**Energy above the lowest structure with this stoichiometry**: 563 meV per atom
**ρ**: 9.00 g/cm3
**Space group**: Amm2
**Fermi-level density of states**: 0.90 states/eV/atom

a = 6.8503 Å, b = 7.7907 Å, c = 7.3356 Å
α = 61.91°, β = 90.00°, γ = 116.08°
Fractional positions:
Zr: 0.9941 0.0000 0.5000
Zr: 0.2481 0.7484 0.1257
Zr: 0.4997 0.2516 0.3741
Zr: 0.2481 0.7484 0.6259
Zr: 0.9941 0.0000 0.0000
Zr: 0.4997 0.2516 0.8743
C: 0.9134 0.3340 0.8330
C: 0.5794 0.6660 0.1670
C: 0.2452 0.9998 0.2501
C: 0.9134 0.3340 0.3330
C: 0.2454 0.0002 0.7499
C: 0.5794 0.6660 0.6670
Er: 0.8313 0.5848 0.9576
Er: 0.2465 0.4152 0.5424
Er: 0.6625 0.0001 0.7500
Er: 0.6624 0.9999 0.2500
Er: 0.2464 0.4152 0.0424
Er: 0.8313 0.5848 0.4576



Entry 3:
DFT (PBE-GGA) results for a geometry-optimized CsRbNa2 structure.

Computed properties:
**Uncorrected energy**: -1.082 eV per atom
**Energy above the lowest structure with this stoichiometry**: 0 meV per atom
**ρ**: 1.61 g/cm3
**Space group**: Pm
**Fermi-level density of states**: 0.71 states/eV/atom

a = 5.2151 Å, b = 6.4834 Å, c = 8.4823 Å
α = 90.00°, β = 108.16°, γ = 90.00°
Fractional positions:
Cs: 0.4270 0.5000 0.3941
Na: 0.1478 0.5000 0.8339
Na: 0.0232 0.0000 0.5861
Rb: 0.7330 0.0000 0.0039



| no. | calculated formation energy (meV/atom) |
| --- | --- |
| 1 | 230 |
| 2 | 164 |
| 3 | 33 |